Entry 1:
Compound: Ba2Mg2Zn
Source: Alexandria
Functional: PBE
Structure: relaxed

Values from the calculation:
uncorrected energy	-1.75	eV/atom
polymorph energy (0 for the lowest one)	0	meV/atom
size of the total moment	0.000	μB per formula unit
space-group type	C2/c (15)

a b c (Å): 7.4429 7.1640 8.2030
angles (deg): 106.72 90.00 121.30
Positions (direct):
Ba: 0.5860 0.3350 0.6450
Ba: 0.2510 0.6650 0.8550
Ba: 0.4140 0.6650 0.3550
Ba: 0.7490 0.3350 0.1450
Mg: 0.7998 0.8324 0.0481
Mg: 0.9674 0.1676 0.4519
Mg: 0.2002 0.1676 0.9519
Mg: 0.0326 0.8324 0.5481
Zn: 0.7991 0.0000 0.7500
Zn: 0.2009 0.0000 0.2500

Entry 2:
Compound: NdEr3Ru2
Source: Alexandria
Functional: PBE
Structure: relaxed

Values from the calculation:
uncorrected energy	-6.35	eV/atom
polymorph energy (0 for the lowest one)	141	meV/atom
size of the total moment	0.000	μB per formula unit
space-group type	P6/mmm (191)

a b c (Å): 3.9499 6.7076 6.7076
angles (deg): 120.00 90.00 90.00
Positions (direct):
Nd: 0.0000 0.0000 0.0000
Er: 0.5000 0.0000 0.5000
Er: 0.5000 0.5000 0.5000
Er: 0.5000 0.5000 0.0000
Ru: 0.0000 0.6667 0.3333
Ru: 0.0000 0.3333 0.6667

Number 1: formation energy from the elements -0.08 eV per atom. Number 2: formation energy from the elements -0.18 eV per atom.